A plane-wave DFT calculation with PBE was carried out for crystalline Tm2MgMo at its relaxed geometry.

* total energy: -20.85 eV/cell
* total magnetization: 0.0 μB/cell
* E_form: 0.1289 eV/atom

Structure (extended XYZ):
```
4
Lattice="3.488 0.000 0.000 0.000 3.488 0.000 0.000 0.000 7.945" Properties=species:S:1:pos:R:3 pbc="T T T"
Mg 1.744 1.744 3.972
Mo 1.744 1.744 0.000
Tm 0.000 0.000 6.283
Tm 0.000 0.000 1.661
```